Entry 1:
## SrMoBr (GGA-PBEsol)

Data for an optimized crystal structure of SrMoBr.

Summary:
total energy: -4.69 eV per atom

a b c (Å): 3.734 3.734 6.017
angles (deg): 90.00 90.00 120.00
Sites, in units of the cell vectors:
Mo1 0.667 0.333 0.738
Br1 0.000 0.000 0.949
Sr1 0.333 0.667 0.313

Entry 2:
## SrMoBr2 (GGA-PBEsol)

Data for an optimized crystal structure of SrMoBr2.

Summary:
polymorph energy (0 for the lowest one): 174 meV/atom

a b c (Å): 5.239 5.239 9.388
angles (deg): 106.20 106.20 90.00
Sites, in units of the cell vectors:
Mo1 0.000 0.000 0.000
Mo2 0.250 0.750 0.500
Br1 0.125 0.073 0.750
Br2 0.323 0.875 0.250
Br3 0.927 0.375 0.250
Br4 0.625 0.677 0.750
Sr1 0.750 0.250 0.500
Sr2 0.500 0.500 0.000

Entry 3:
## SrMoBr2 (GGA-PBEsol)

Data for an optimized crystal structure of SrMoBr2.

Summary:
polymorph energy (0 for the lowest one): 75 meV/atom

a b c (Å): 3.867 4.598 6.357
angles (deg): 90.00 107.69 90.00
Sites, in units of the cell vectors:
Br1 0.031 0.000 0.937
Br2 0.711 0.500 0.298
Mo1 0.816 0.000 0.506
Sr1 0.442 0.500 0.759